This record from Alexandria describes crystalline NaCrCl2O at its relaxed geometry. The functional is PBE+U.

POSCAR file:
```
NaCrCl2O
1.0
-3.833 3.298 0.714
-3.267 -3.358 -2.033
-0.609 -1.431 3.343
Cr Na O Cl
1 1 1 2
direct
0.000 0.000 0.000 Cr
0.500 0.500 0.500 Na
0.000 0.000 0.500 O
0.000 0.500 0.000 Cl
0.500 0.000 0.000 Cl
```

For the total energy, the calculation gives -24.32 eV per cell. Its size of the total moment is 3.00 μB/cell. Its symmetry is P4/mmm. The crystal system is tetragonal.